Y2HfB2Rh5: relaxed, PBE.

Results
- Energy of formation from the pure elements: -835 meV/atom
- Magnetic moment: 0.00 μB per formula unit
- Calculated volume: 304 Å³/cell

Unit cell a=9.6706 b=9.6706 c=3.2533 alpha=90.00 beta=90.00 gamma=90.00
Last column: nearest neighbours and their distance in Å.
Positions (direct):
Y: 0.1750 0.3250 0.0000  3 B 2.81-2.90, 10 Rh 2.89-3.04
Y: 0.3250 0.8250 0.0000  3 B 2.81-2.90, 10 Rh 2.89-3.04
Y: 0.6750 0.1750 0.0000  3 B 2.81-2.90, 10 Rh 2.89-3.04
Y: 0.8250 0.6750 0.0000  3 B 2.81-2.90, 10 Rh 2.89-3.04
Hf: 0.0000 0.0000 0.0000  8 Rh 2.79
Hf: 0.5000 0.5000 0.0000  8 Rh 2.79
B: 0.1194 0.6194 0.0000  6 Rh 2.27-2.30
B: 0.3806 0.1194 0.0000  6 Rh 2.27-2.30
B: 0.6194 0.8806 0.0000  6 Rh 2.27-2.30
B: 0.8806 0.3806 0.0000  6 Rh 2.27-2.30
Rh: 0.0000 0.5000 0.5000  4 B 2.30
Rh: 0.0706 0.7760 0.5000  2 B 2.27
Rh: 0.2240 0.0706 0.5000  2 B 2.27
Rh: 0.2760 0.5706 0.5000  2 B 2.27
Rh: 0.4294 0.2760 0.5000  2 B 2.27
Rh: 0.5000 0.0000 0.5000  4 B 2.30
Rh: 0.5706 0.7240 0.5000  2 B 2.27
Rh: 0.7240 0.4294 0.5000  2 B 2.27
Rh: 0.7760 0.9294 0.5000  2 B 2.27
Rh: 0.9294 0.2240 0.5000  2 B 2.27

***

TiBeNb3: relaxed, PBE.

Results
- Energy of formation from the pure elements: 1456 meV/atom
- Magnetic moment: 0.00 μB per formula unit
- Calculated volume: 101 Å³/cell
- Energy relative to the lowest polymorph listed for this composition: 912 meV/atom

Unit cell a=4.6573 b=4.6573 c=4.6573 alpha=90.00 beta=90.00 gamma=90.00
Last column: nearest neighbours and their distance in Å.
Positions (direct):
Ti: 0.0000 0.0000 0.0000  6 Nb 2.33
Be: 0.5000 0.5000 0.5000  12 Nb 3.29
Nb: 0.0000 0.0000 0.5000  2 Ti 2.33
Nb: 0.0000 0.5000 0.0000  2 Ti 2.33
Nb: 0.5000 0.0000 0.0000  2 Ti 2.33

***

TbDy2Sc: relaxed, PBE.

Results
- Energy of formation from the pure elements: 39 meV/atom
- Magnetic moment: 0.00 μB per formula unit
- Calculated volume: 237 Å³/cell
- Energy relative to the lowest polymorph listed for this composition: 9 meV/atom

Unit cell a=6.0115 b=6.9381 c=6.9462 alpha=60.10 beta=73.62 gamma=73.48
Last column: nearest neighbours and their distance in Å.
Positions (direct):
Tb: 0.2461 0.1261 0.1258  8 Dy 3.46-3.50, 3 Sc 3.48-3.50, 1 Tb 3.53
Tb: 0.7539 0.8739 0.8742  8 Dy 3.46-3.50, 3 Sc 3.48-3.50, 1 Tb 3.53
Dy: 0.2499 0.1263 0.6235  4 Sc 3.45-3.49, 4 Dy 3.45-3.50, 4 Tb 3.46-3.49
Dy: 0.2496 0.6231 0.1272  4 Sc 3.44-3.49, 4 Dy 3.45-3.50, 4 Tb 3.46-3.50
Dy: 0.7504 0.3769 0.8728  4 Sc 3.44-3.49, 4 Dy 3.45-3.50, 4 Tb 3.46-3.50
Dy: 0.7501 0.8737 0.3765  4 Sc 3.45-3.49, 4 Dy 3.45-3.50, 4 Tb 3.46-3.49
Sc: 0.2557 0.6234 0.6231  1 Sc 3.42, 8 Dy 3.44-3.49, 3 Tb 3.48-3.50
Sc: 0.7443 0.3766 0.3769  1 Sc 3.42, 8 Dy 3.44-3.49, 3 Tb 3.48-3.50

***

Cs2HgRhI6: relaxed, PBE.

Results
- Magnetic moment: 0.00 μB per formula unit
- Calculated volume: 407 Å³/cell
- Energy relative to the elements, uncorrected: -0.719 eV/atom
- Energy relative to the lowest polymorph listed for this composition: 4 meV/atom

Unit cell a=8.2818 b=8.2818 c=8.2818 alpha=119.10 beta=119.10 gamma=91.57
Last column: nearest neighbours and their distance in Å.
Positions (direct):
Cs: 0.2500 0.7500 0.5000  12 I 4.15-4.20
Cs: 0.7500 0.2500 0.5000  12 I 4.15-4.20
Hg: 0.0000 0.0000 0.0000  6 I 3.02-3.21
Rh: 0.5000 0.5000 0.0000  6 I 2.73-2.75
I: 0.2615 0.2615 0.0000  1 Rh 2.75, 1 Hg 3.02
I: 0.2701 0.2701 0.5403  1 Rh 2.73
I: 0.2701 0.7299 0.0000  1 Rh 2.73
I: 0.7299 0.2701 0.0000  1 Rh 2.73
I: 0.7299 0.7299 0.4597  1 Rh 2.73
I: 0.7385 0.7385 0.0000  1 Rh 2.75, 1 Hg 3.02

***

MnIrRu2: relaxed, PBE.

Results
- Energy of formation from the pure elements: 512 meV/atom
- Magnetic moment: 0.00 μB per formula unit
- Calculated volume: 55 Å³/cell
- Energy relative to the lowest polymorph listed for this composition: 560 meV/atom

Unit cell a=4.2723 b=4.2723 c=4.2723 alpha=60.00 beta=60.00 gamma=60.00
Last column: nearest neighbours and their distance in Å.
Positions (direct):
Mn: 0.0000 0.0000 0.0000  8 Ru 2.62
Ir: 0.5000 0.5000 0.5000  8 Ru 2.62
Ru: 0.2500 0.2500 0.2500  4 Mn 2.62, 4 Ir 2.62
Ru: 0.7500 0.7500 0.7500  4 Mn 2.62, 4 Ir 2.62

***

TbLuZn4: relaxed, PBE.

Results
- Energy of formation from the pure elements: -326 meV/atom
- Magnetic moment: 0.00 μB per formula unit
- Calculated volume: 113 Å³/cell

Unit cell a=5.4305 b=5.4305 c=5.4305 alpha=60.00 beta=60.00 gamma=60.00
Last column: nearest neighbours and their distance in Å.
Positions (direct):
Tb: 0.0000 0.0000 0.0000  12 Zn 3.18, 4 Lu 3.33
Lu: 0.7500 0.7500 0.7500  12 Zn 3.18, 4 Tb 3.33
Zn: 0.3750 0.3750 0.3750  6 Zn 2.72
Zn: 0.3750 0.3750 0.8750  6 Zn 2.72
Zn: 0.3750 0.8750 0.3750  6 Zn 2.72
Zn: 0.8750 0.3750 0.3750  6 Zn 2.72